No. 1
{"formula": "K5Rb4Na", "functional": "PBE-GGA", "state": "optimized geometry", "lattice_angstrom": [[4.868, 0.000, 0.000], [0.000, 4.868, 0.000], [0.000, 0.000, 31.836]], "species": ["Rb", "Rb", "K", "Rb", "Na", "K", "Rb", "K", "K", "K"], "fractional_positions": [[0.000, 0.000, 0.394], [0.000, 0.000, 0.820], [0.500, 0.500, 0.500], [0.000, 0.000, 0.606], [0.000, 0.000, 0.000], [0.500, 0.500, 0.073], [0.000, 0.000, 0.180], [0.500, 0.500, 0.287], [0.500, 0.500, 0.927], [0.500, 0.500, 0.713]], "space_group": "No. 123", "polymorph_energy_mev_per_atom": 0, "formation_enthalpy_0k_mev_per_atom": 10, "e_tot_ev_per_atom": -1.058, "dos_ef_per_ev_cell": 7.50}

No. 2
{"formula": "K2RbNa2", "functional": "PBE-GGA", "state": "optimized geometry", "lattice_angstrom": [[6.042, 0.000, 0.000], [0.000, 6.042, 0.000], [3.021, 3.021, 8.805]], "species": ["Na", "K", "Na", "K", "Rb"], "fractional_positions": [[0.405, 0.405, 0.191], [0.250, 0.750, 0.500], [0.595, 0.595, 0.809], [0.750, 0.250, 0.500], [0.000, 0.000, 0.000]], "space_group": "No. 139", "polymorph_energy_mev_per_atom": 34, "formation_enthalpy_0k_mev_per_atom": 58, "e_tot_ev_per_atom": -1.102, "dos_ef_per_ev_cell": 3.62}

No. 3
{"formula": "K9Rb2Na", "functional": "PBE-GGA", "state": "optimized geometry", "lattice_angstrom": [[-3.468, -5.556, -0.894], [4.892, -2.457, -3.705], [8.277, -7.750, 16.067]], "species": ["K", "K", "K", "Rb", "K", "K", "Na", "K", "K", "K", "K", "Rb"], "fractional_positions": [[0.500, 0.500, 0.000], [0.000, 0.500, 0.147], [0.500, 0.500, 0.323], [0.000, 0.000, 0.677], [0.500, 0.500, 0.677], [0.500, 0.000, 0.500], [0.000, 0.000, 0.000], [0.500, 0.000, 0.853], [0.500, 0.000, 0.147], [0.000, 0.500, 0.500], [0.000, 0.500, 0.853], [0.000, 0.000, 0.323]], "space_group": "No. 123", "formation_enthalpy_0k_mev_per_atom": 8, "e_tot_ev_per_atom": -1.086, "dos_ef_per_ev_cell": 8.52}

No. 4
{"formula": "K4Rb3Na", "functional": "PBE-GGA", "state": "optimized geometry", "lattice_angstrom": [[0.234, 2.852, -3.464], [0.831, -6.072, -4.942], [-17.779, 0.813, 2.384]], "species": ["Rb", "K", "Rb", "K", "K", "K", "Rb", "Na"], "fractional_positions": [[0.000, 0.500, 0.000], [0.775, 0.773, 0.550], [0.150, 0.653, 0.300], [0.093, 0.096, 0.187], [0.907, 0.904, 0.813], [0.225, 0.227, 0.450], [0.850, 0.347, 0.700], [0.500, 0.000, 0.000]], "space_group": "No. 12", "polymorph_energy_mev_per_atom": 32, "formation_enthalpy_0k_mev_per_atom": 53, "e_tot_ev_per_atom": -1.024, "dos_ef_per_ev_cell": 6.03}

No. 5
{"formula": "KRbNa6", "functional": "PBE-GGA", "state": "optimized geometry", "lattice_angstrom": [[6.452, 0.000, 0.000], [0.000, 8.160, -0.118], [0.000, -3.719, 7.264]], "species": ["Na", "Na", "Na", "Rb", "Na", "Na", "K", "Na"], "fractional_positions": [[0.000, 0.614, 0.956], [0.500, 0.909, 0.091], [0.000, 0.044, 0.386], [0.500, 0.406, 0.594], [0.500, 0.888, 0.550], [0.000, 0.597, 0.403], [0.000, 0.092, 0.908], [0.500, 0.450, 0.112]], "space_group": "No. 38", "formation_enthalpy_0k_mev_per_atom": 40, "e_tot_ev_per_atom": -1.208, "dos_ef_per_ev_cell": 4.82}

No. 6
{"formula": "K3Rb2Na4", "functional": "PBE-GGA", "state": "optimized geometry", "lattice_angstrom": [[6.952, -0.032, -0.016], [3.439, 7.466, 0.669], [3.452, 4.102, 10.532]], "species": ["Na", "K", "Rb", "Na", "Rb", "K", "K", "Na", "Na"], "fractional_positions": [[0.088, 0.462, 0.357], [0.000, 0.000, 0.000], [0.239, 0.865, 0.660], [0.721, 0.615, 0.945], [0.761, 0.135, 0.340], [0.475, 0.769, 0.278], [0.525, 0.231, 0.722], [0.912, 0.538, 0.643], [0.279, 0.385, 0.055]], "space_group": "No. 2", "formation_enthalpy_0k_mev_per_atom": 32, "e_tot_ev_per_atom": -1.135, "dos_ef_per_ev_cell": 6.06}

No. 7
{"formula": "K3Rb7Na4", "functional": "PBE-GGA", "state": "optimized geometry", "lattice_angstrom": [[4.623, 0.000, 1.166], [1.352, 13.203, 4.387], [-1.537, -0.381, 15.838]], "species": ["Rb", "K", "Rb", "K", "Na", "Rb", "Na", "Rb", "Na", "Na", "Rb", "K", "Rb", "Rb"], "fractional_positions": [[0.837, 0.391, 0.934], [0.709, 0.773, 0.809], [0.494, 0.749, 0.262], [0.291, 0.227, 0.191], [0.139, 0.012, 0.710], [0.320, 0.836, 0.524], [0.861, 0.988, 0.290], [0.680, 0.164, 0.476], [0.641, 0.434, 0.284], [0.359, 0.566, 0.716], [0.163, 0.609, 0.066], [0.000, 0.500, 0.500], [0.000, 0.000, 0.000], [0.506, 0.251, 0.738]], "space_group": "No. 12", "formation_enthalpy_0k_mev_per_atom": 39, "e_tot_ev_per_atom": -1.057, "dos_ef_per_ev_cell": 9.59}

No. 8
{"formula": "K9RbNa4", "functional": "PBE-GGA", "state": "optimized geometry", "lattice_angstrom": [[12.215, 0.000, -6.888], [-3.884, 11.581, -6.888], [-0.310, -0.430, 13.726]], "species": ["K", "K", "Na", "K", "Na", "K", "K", "Na", "K", "K", "K", "Na", "Na", "K", "K", "K", "K", "Rb", "K", "Na", "Na", "K", "K", "K", "Na", "K", "Rb", "K"], "fractional_positions": [[0.445, 0.945, 0.612], [0.566, 0.302, 0.000], [0.773, 0.928, 0.201], [0.555, 0.055, 0.388], [0.428, 0.273, 0.201], [0.066, 0.198, 0.000], [0.055, 0.833, 0.388], [0.572, 0.727, 0.799], [0.833, 0.333, 0.388], [0.167, 0.667, 0.612], [0.945, 0.167, 0.612], [0.727, 0.227, 0.799], [0.227, 0.072, 0.799], [0.698, 0.566, 0.000], [0.333, 0.555, 0.388], [0.934, 0.802, 0.000], [0.434, 0.698, 0.000], [0.250, 0.250, 0.500], [0.667, 0.445, 0.612], [0.273, 0.773, 0.201], [0.928, 0.428, 0.201], [0.302, 0.434, 0.000], [0.198, 0.934, 0.000], [0.500, 0.000, 0.000], [0.072, 0.572, 0.799], [0.000, 0.500, 0.000], [0.750, 0.750, 0.500], [0.802, 0.066, 0.000]], "space_group": "No. 140", "formation_enthalpy_0k_mev_per_atom": 54, "e_tot_ev_per_atom": -1.097, "dos_ef_per_ev_cell": 22.31}